(1)
VCuSnAu2 after structural relaxation, computed with PBE-GGA.

Computed properties:
M_tot in μB per atom: 0.000
Energy of formation from the pure elements in meV/atom: 653

CIF file:
```
data_VCuSnAu2
_cell_length_a 4.768
_cell_length_b 4.768
_cell_length_c 4.508
_cell_angle_alpha 90.00
_cell_angle_beta 90.00
_cell_angle_gamma 90.00
_symmetry_space_group_name_H-M 'P 4/m m m'
_symmetry_Int_Tables_number 123
_symmetry_space_group_name_Hall '-P 4 2'
loop_
_atom_site_label
_atom_site_fract_x
_atom_site_fract_y
_atom_site_fract_z
V1 0.000 0.000 0.000
Cu1 0.000 0.000 0.500
Sn1 0.500 0.500 0.000
Au1 0.000 0.500 0.500
```

***

(2)
ZrCuSnAu after structural relaxation, computed with PBE-GGA.

Computed properties:
M_tot in μB per atom: 0.000
Energy of formation from the pure elements in meV/atom: -210

CIF file:
```
data_ZrCuSnAu
_cell_length_a 6.722
_cell_length_b 6.722
_cell_length_c 6.722
_cell_angle_alpha 90.00
_cell_angle_beta 90.00
_cell_angle_gamma 90.00
_symmetry_space_group_name_H-M 'F -4 3 m'
_symmetry_Int_Tables_number 216
_symmetry_space_group_name_Hall 'F -4 2 3'
loop_
_atom_site_label
_atom_site_fract_x
_atom_site_fract_y
_atom_site_fract_z
Zr1 0.000 0.000 0.000
Cu1 0.250 0.250 0.750
Sn1 0.000 0.000 0.500
Au1 0.250 0.250 0.250
```

***

(3)
SrCuAu2 after structural relaxation, computed with PBE-GGA.

Computed properties:
M_tot in μB per atom: 0.000
Energy above the most stable polymorph in this dataset in meV per atom: 182
Energy of formation from the pure elements in meV/atom: -277

CIF file:
```
data_SrCuAu2
_cell_length_a 4.700
_cell_length_b 5.501
_cell_length_c 7.095
_cell_angle_alpha 90.00
_cell_angle_beta 90.00
_cell_angle_gamma 90.00
_symmetry_space_group_name_H-M 'I m m 2'
_symmetry_Int_Tables_number 44
loop_
_symmetry_equiv_pos_as_xyz
'x,y,z'
'-x,-y,z'
'-x,y,z'
'x,-y,z'
'x+1/2,y+1/2,z+1/2'
'-x+1/2,-y+1/2,z+1/2'
'-x+1/2,y+1/2,z+1/2'
'x+1/2,-y+1/2,z+1/2'
loop_
_atom_site_label
_atom_site_fract_x
_atom_site_fract_y
_atom_site_fract_z
Sr1 0.000 0.000 0.000
Cu1 0.000 0.500 0.813
Au1 0.000 0.000 0.468
Au2 0.000 0.500 0.204
```

***

(4)
SrCu2Au2 after structural relaxation, computed with PBE-GGA.

Computed properties:
M_tot in μB per atom: 0.000
Energy above the most stable polymorph in this dataset in meV per atom: 0
Energy of formation from the pure elements in meV/atom: -307

CIF file:
```
data_SrCu2Au2
_cell_length_a 4.241
_cell_length_b 4.241
_cell_length_c 11.596
_cell_angle_alpha 90.00
_cell_angle_beta 90.00
_cell_angle_gamma 90.00
_symmetry_space_group_name_H-M 'I 4/m m m'
_symmetry_Int_Tables_number 139
_symmetry_space_group_name_Hall '-I 4 2'
loop_
_atom_site_label
_atom_site_fract_x
_atom_site_fract_y
_atom_site_fract_z
Sr1 0.000 0.000 0.000
Cu1 0.000 0.500 0.250
Au1 0.000 0.000 0.381
```

***

(5)
Sr2CuAu after structural relaxation, computed with PBE-GGA.

Computed properties:
M_tot in μB per atom: 0.000
Energy of formation from the pure elements in meV/atom: -406

CIF file:
```
data_Sr2CuAu
_cell_length_a 7.834
_cell_length_b 4.521
_cell_length_c 8.098
_cell_angle_alpha 90.00
_cell_angle_beta 108.65
_cell_angle_gamma 90.00
_symmetry_space_group_name_H-M 'C 1 m 1'
_symmetry_Int_Tables_number 8
loop_
_symmetry_equiv_pos_as_xyz
'x,y,z'
'x,-y,z'
'x+1/2,y+1/2,z'
'x+1/2,-y+1/2,z'
loop_
_atom_site_label
_atom_site_fract_x
_atom_site_fract_y
_atom_site_fract_z
Sr1 0.000 0.000 0.000
Sr2 0.170 0.000 0.515
Cu1 0.252 0.500 0.259
Au1 0.418 0.000 0.256
```

***

(6)
Sr2CuAu after structural relaxation, computed with PBE-GGA.

Computed properties:
M_tot in μB per atom: 0.000
Energy of formation from the pure elements in meV/atom: -443

CIF file:
```
data_Sr2CuAu
_cell_length_a 6.233
_cell_length_b 4.528
_cell_length_c 8.891
_cell_angle_alpha 90.00
_cell_angle_beta 109.81
_cell_angle_gamma 90.00
_symmetry_space_group_name_H-M 'P 1 21/m 1'
_symmetry_Int_Tables_number 11
loop_
_symmetry_equiv_pos_as_xyz
'x,y,z'
'-x,-y,-z'
'-x,y+1/2,-z'
'x,-y+1/2,z'
loop_
_atom_site_label
_atom_site_fract_x
_atom_site_fract_y
_atom_site_fract_z
Sr1 0.210 0.250 0.430
Sr2 0.289 0.750 0.070
Cu1 0.345 0.750 0.718
Au1 0.152 0.250 0.782
```

***

no.,V (Å³/cell)
1,102
2,304
3,183
4,209
5,272
6,236